# 1
# CaCd2AgSn2, relaxed, DFT PBE
# Energy of formation in eV per atom: -0.14
# E in eV per cell: -31.08
# Fermi-level density of states in states/eV/cell: 3.63
data_CaCd2AgSn2
_cell_length_a 7.781
_cell_length_b 8.322
_cell_length_c 5.036
_cell_angle_alpha 90.00
_cell_angle_beta 90.00
_cell_angle_gamma 90.00
_space_group_name_H-M_alt 'P n n m'
_space_group_IT_number 58
loop_
_space_group_symop_operation_xyz
'x,y,z'
'-x,-y,-z'
'-x,-y,z'
'x,y,-z'
'x+1/2,-y+1/2,-z+1/2'
'-x+1/2,y+1/2,z+1/2'
'-x+1/2,y+1/2,-z+1/2'
'x+1/2,-y+1/2,z+1/2'
loop_
_atom_site_label
_atom_site_type_symbol
_atom_site_fract_x
_atom_site_fract_y
_atom_site_fract_z
Ca1 Ca 0.000 0.000 0.000
Cd1 Cd 0.187 0.193 0.500
Ag1 Ag 0.000 0.500 0.000
Sn1 Sn 0.195 0.814 0.500



# 2
# PmDy3Th3, relaxed, DFT PBE
# Energy of formation in eV per atom: 0.07
# E in eV per cell: -80.69
# Fermi-level density of states in states/eV/cell: 24.02
data_PmDy3Th3
_cell_length_a 9.5137
_cell_length_b 9.5137
_cell_length_c 5.8418
_cell_angle_alpha 90.00
_cell_angle_beta 90.00
_cell_angle_gamma 120.00
_space_group_name_H-M_alt 'P 63/m'
_space_group_IT_number 176
_space_group_name_Hall '-P 6c'
loop_
_atom_site_label
_atom_site_type_symbol
_atom_site_fract_x
_atom_site_fract_y
_atom_site_fract_z
Pm1 Pm 0.3333 0.6667 0.2500
Dy1 Dy 0.0426 0.2381 0.2500
Th1 Th 0.1014 0.4848 0.7500



# 3
# CaSm2PaAs4, relaxed, DFT PBE
# Energy of formation in eV per atom: -1.34
# E in eV per cell: -50.24
# Fermi-level density of states in states/eV/cell: 3.74
data_CaSm2PaAs4
_cell_length_a 7.219
_cell_length_b 4.193
_cell_length_c 7.236
_cell_angle_alpha 90.00
_cell_angle_beta 109.22
_cell_angle_gamma 90.00
_space_group_name_H-M_alt 'P 1 2/m 1'
_space_group_IT_number 10
loop_
_space_group_symop_operation_xyz
'x,y,z'
'-x,-y,-z'
'-x,y,-z'
'x,-y,z'
loop_
_atom_site_label
_atom_site_type_symbol
_atom_site_fract_x
_atom_site_fract_y
_atom_site_fract_z
Ca1 Ca 0.000 0.000 0.000
Sm1 Sm 0.000 0.500 0.500
Sm2 Sm 0.500 0.000 0.500
Pa1 Pa 0.500 0.500 0.000
As1 As 0.259 0.000 0.758
As2 As 0.260 0.500 0.244



# 4
# NaAl2V, relaxed, DFT PBE
# Energy of formation in eV per atom: 0.32
# Energy above the lowest structure with this stoichiometry in meV/atom: 0
# E in eV per cell: -66.53
# Fermi-level density of states in states/eV/cell: 12.12
data_NaAl2V
_cell_length_a 6.572
_cell_length_b 6.572
_cell_length_c 6.572
_cell_angle_alpha 90.00
_cell_angle_beta 90.00
_cell_angle_gamma 90.00
_space_group_name_H-M_alt 'F m -3 m'
_space_group_IT_number 225
_space_group_name_Hall '-F 4 2 3'
loop_
_atom_site_label
_atom_site_type_symbol
_atom_site_fract_x
_atom_site_fract_y
_atom_site_fract_z
Na1 Na 0.000 0.000 0.000
Al1 Al 0.250 0.250 0.250
V1 V 0.000 0.000 0.500



# 5
# Li2Ga3Pt, relaxed, DFT PBE
# Energy of formation in eV per atom: -0.45
# E in eV per cell: -86.50
# Fermi-level density of states in states/eV/cell: 7.69
data_Li2Ga3Pt
_cell_length_a 4.554
_cell_length_b 14.019
_cell_length_c 5.737
_cell_angle_alpha 90.00
_cell_angle_beta 90.00
_cell_angle_gamma 90.00
_space_group_name_H-M_alt 'C m m m'
_space_group_IT_number 65
_space_group_name_Hall '-C 2 2'
loop_
_atom_site_label
_atom_site_type_symbol
_atom_site_fract_x
_atom_site_fract_y
_atom_site_fract_z
Li1 Li 0.000 0.000 0.000
Li2 Li 0.000 0.000 0.500
Li3 Li 0.000 0.338 0.000
Ga1 Ga 0.000 0.175 0.256
Ga2 Ga 0.000 0.500 0.235
Pt1 Pt 0.000 0.352 0.500



# 6
# MgSiAu2, relaxed, DFT PBE
# Energy relative to the elements, uncorrected in meV/atom: -89
# E in eV per cell: -55.72
# Fermi-level density of states in states/eV/cell: 7.84
data_MgSiAu2
_cell_length_a 4.346
_cell_length_b 4.346
_cell_length_c 16.857
_cell_angle_alpha 90.00
_cell_angle_beta 90.00
_cell_angle_gamma 90.00
_space_group_name_H-M_alt 'I -4 2 d'
_space_group_IT_number 122
_space_group_name_Hall 'I -4 2bw'
loop_
_atom_site_label
_atom_site_type_symbol
_atom_site_fract_x
_atom_site_fract_y
_atom_site_fract_z
Mg1 Mg 0.000 0.000 0.000
Si1 Si 0.000 0.000 0.500
Au1 Au 0.216 0.250 0.625



# 7
# K3Pu3NpS8, relaxed, DFT PBE
# Energy relative to the elements, uncorrected in meV/atom: -1522
# E in eV per cell: -345.25
# Fermi-level density of states in states/eV/cell: 97.08
data_K3Pu3NpS8
_cell_length_a 8.1793
_cell_length_b 8.1793
_cell_length_c 22.2416
_cell_angle_alpha 90.00
_cell_angle_beta 90.00
_cell_angle_gamma 120.00
_space_group_name_H-M_alt 'R -3 m'
_space_group_IT_number 166
_space_group_name_Hall '-R 3 2"'
loop_
_atom_site_label
_atom_site_type_symbol
_atom_site_fract_x
_atom_site_fract_y
_atom_site_fract_z
K1 K 0.0000 0.5000 0.0000
Pu1 Pu 0.0000 0.5000 0.5000
Np1 Np 0.0000 0.0000 0.5000
S1 S 0.0000 0.0000 0.2321
S2 S 0.0062 0.5031 0.2314



# 8
# Tm2Si2Ge, relaxed, DFT PBE
# Energy above the lowest structure with this stoichiometry in meV/atom: 59
# Energy relative to the elements, uncorrected in meV/atom: -619
# E in eV per cell: -55.01
# Fermi-level density of states in states/eV/cell: 5.12
data_Tm2Si2Ge
_cell_length_a 7.006
_cell_length_b 7.006
_cell_length_c 4.108
_cell_angle_alpha 90.00
_cell_angle_beta 90.00
_cell_angle_gamma 90.00
_space_group_name_H-M_alt 'P 4/m b m'
_space_group_IT_number 127
_space_group_name_Hall '-P 4 2ab'
loop_
_atom_site_label
_atom_site_type_symbol
_atom_site_fract_x
_atom_site_fract_y
_atom_site_fract_z
Tm1 Tm 0.180 0.320 0.000
Si1 Si 0.120 0.620 0.500
Ge1 Ge 0.000 0.000 0.500



| no. | density (g/cm3) |
| --- | --- |
| 1 | 6.215 |
| 2 | 9.636 |
| 3 | 6.997 |
| 4 | 2.992 |
| 5 | 7.584 |
| 6 | 9.313 |
| 7 | 5.191 |
| 8 | 7.687 |